# 1
Entry from the Alexandria database: a relaxed Y2ZrIr crystal (PBE).

Lattice parameters (Å, degrees): 6.0084 6.0084 6.0084 139.20 139.20 59.08
Positions (direct):
Ir (0.7500, 0.2500, 0.5000)
Y (0.0000, 0.0000, 0.0000)
Y (0.2500, 0.7500, 0.5000)
Zr (0.5000, 0.5000, 0.0000)

Computed properties:
* density of states at the Fermi level: 1.566 states/eV/atom
* offset from the most stable computed form: 346 meV per atom



# 2
Entry from the Alexandria database: a relaxed LiCa2Te2 crystal (PBE).

Lattice parameters (Å, degrees): 5.9422 5.9422 6.9451 64.67 64.67 90.00
Site moments in Bohr magnetons follow the coordinates.
Positions (direct):
Ca (0.3248, 0.3248, 0.3505)  0.07
Ca (0.6752, 0.6752, 0.6495)  0.07
Te (0.7500, 0.2500, 0.5000)  0.01
Te (0.2500, 0.7500, 0.5000)  0.01
Li (0.0000, 0.0000, 0.0000)  0.01

Computed properties:
* E_form (uncorrected): -0.809 eV per atom
* density of states at the Fermi level: 0.817 states/eV/atom
* offset from the most stable computed form: 356 meV per atom



# 3
Entry from the Alexandria database: a relaxed Ga2Sn2Pd crystal (PBE).

Lattice parameters (Å, degrees): 6.6634 6.6634 4.8166 90.00 90.00 90.00
Positions (direct):
Ga (0.3596, 0.8596, 0.0000)
Ga (0.8596, 0.6404, 0.0000)
Ga (0.6404, 0.1404, 0.0000)
Ga (0.1404, 0.3596, 0.0000)
Sn (0.1751, 0.6751, 0.5000)
Sn (0.6751, 0.8249, 0.5000)
Sn (0.8249, 0.3249, 0.5000)
Sn (0.3249, 0.1751, 0.5000)
Pd (0.0000, 0.0000, 0.0000)
Pd (0.5000, 0.5000, 0.0000)

Computed properties:
* density of states at the Fermi level: 0.264 states/eV/atom
* offset from the most stable computed form: 0 meV per atom



# 4
Entry from the Alexandria database: a relaxed HoAlRu crystal (PBE).

Lattice parameters (Å, degrees): 5.0302 5.0302 5.6392 105.06 105.06 114.66
Positions (direct):
Ru (0.0636, 0.9364, 0.5000)
Ru (0.3136, 0.6864, 0.0000)
Al (0.3649, 0.6351, 0.5000)
Al (0.6149, 0.3851, 0.0000)
Ho (0.9781, 0.0219, 0.0000)
Ho (0.7281, 0.2719, 0.5000)

Computed properties:
* density of states at the Fermi level: 0.281 states/eV/atom
* total DFT energy (no corrections): -18.47 eV/f.u.



# 5
Entry from the Alexandria database: a relaxed ReSbS2N crystal (PBE).

Lattice parameters (Å, degrees): 5.0665 5.0665 3.8473 90.00 90.00 90.00
Site moments in Bohr magnetons follow the coordinates.
Positions (direct):
Re (0.5000, 0.5000, 0.5000)  3.73
S (0.0000, 0.5000, 0.0000)  0.00
S (0.5000, 0.0000, 0.0000)  0.00
N (0.0000, 0.0000, 0.5000)  0.07
Sb (0.0000, 0.0000, 0.0000)  0.02

Computed properties:
* E_form (uncorrected): 1.666 eV per atom
* density of states at the Fermi level: 0.653 states/eV/atom
* offset from the most stable computed form: 1396 meV per atom



# 6
Entry from the Alexandria database: a relaxed RbLiBi2 crystal (PBE).

Lattice parameters (Å, degrees): 5.9398 5.9398 10.7021 73.89 73.89 90.00
Positions (direct):
Bi (0.4393, 0.1250, 0.2500)
Bi (0.3107, 0.6250, 0.2500)
Bi (0.3750, 0.5607, 0.7500)
Bi (0.8750, 0.6893, 0.7500)
Rb (0.0000, 0.0000, 0.0000)
Rb (0.7500, 0.2500, 0.5000)
Li (0.5000, 0.5000, 0.0000)
Li (0.2500, 0.7500, 0.5000)

Computed properties:
* density of states at the Fermi level: 0.692 states/eV/atom
* offset from the most stable computed form: 108 meV per atom



# 7
Entry from the Alexandria database: a relaxed CrRe3H crystal (PBE).

Lattice parameters (Å, degrees): 4.4393 4.4393 4.4393 90.00 90.00 90.00
Positions (direct):
Re (0.0000, 0.5000, 0.0000)
Re (0.0000, 0.0000, 0.5000)
Re (0.5000, 0.0000, 0.0000)
H (0.5000, 0.5000, 0.5000)
Cr (0.0000, 0.0000, 0.0000)

Computed properties:
* density of states at the Fermi level: 1.190 states/eV/atom
* offset from the most stable computed form: 2175 meV per atom



# 8
Entry from the Alexandria database: a relaxed ZnCo3P crystal (PBE).

Lattice parameters (Å, degrees): 4.3084 4.3084 4.3084 90.00 90.00 90.00
Site moments in Bohr magnetons follow the coordinates.
Positions (direct):
P (0.5000, 0.5000, 0.5000)  0.06
Zn (0.0000, 0.0000, 0.0000)  -0.08
Co (0.0000, 0.5000, 0.0000)  1.79
Co (0.0000, 0.0000, 0.5000)  1.49
Co (0.5000, 0.0000, 0.0000)  1.51

Computed properties:
* density of states at the Fermi level: 1.690 states/eV/atom
* offset from the most stable computed form: 1137 meV per atom



# 9
Entry from the Alexandria database: a relaxed Sr2LiSnF crystal (PBE).

Lattice parameters (Å, degrees): 5.2603 5.2603 4.5821 90.00 90.00 90.00
Positions (direct):
Sr (0.0000, 0.5000, 0.0000)
Sr (0.5000, 0.0000, 0.0000)
Li (0.0000, 0.0000, 0.5000)
Sn (0.5000, 0.5000, 0.5000)
F (0.0000, 0.0000, 0.0000)

Computed properties:
* E_form (uncorrected): -1.446 eV per atom
* density of states at the Fermi level: 0.163 states/eV/atom
* offset from the most stable computed form: 0 meV per atom



# 10
Entry from the Alexandria database: a relaxed Pr2Si4PdAu3 crystal (PBE).

Lattice parameters (Å, degrees): 4.3233 4.3233 10.3488 90.00 90.00 90.00
Positions (direct):
Pr (0.5000, 0.0000, 0.2534)
Pr (0.0000, 0.5000, 0.7466)
Si (0.5000, 0.5000, 0.0000)
Si (0.0000, 0.0000, 0.0000)
Si (0.5000, 0.0000, 0.6290)
Si (0.0000, 0.5000, 0.3710)
Pd (0.5000, 0.5000, 0.5000)
Au (0.0000, 0.0000, 0.5000)
Au (0.5000, 0.0000, 0.8702)
Au (0.0000, 0.5000, 0.1298)

Computed properties:
* E_form (uncorrected): -0.650 eV per atom
* density of states at the Fermi level: 0.495 states/eV/atom



# 11
Entry from the Alexandria database: a relaxed Pr2DyNpP4 crystal (PBE).

Lattice parameters (Å, degrees): 4.0825 7.0682 7.0923 109.29 90.00 90.00
Site moments in Bohr magnetons follow the coordinates.
Positions (direct):
Pr (0.5000, 0.0000, 0.5000)  0.03
Pr (0.0000, 0.5000, 0.5000)  0.04
Dy (0.5000, 0.5000, 0.0000)  0.01
Np (0.0000, 0.0000, 0.0000)  3.48
P (0.5000, 0.2407, 0.2323)  -0.07
P (0.5000, 0.7593, 0.7677)  -0.07
P (0.0000, 0.2504, 0.7659)  -0.04
P (0.0000, 0.7496, 0.2341)  -0.04

Computed properties:
* density of states at the Fermi level: 1.395 states/eV/atom
* total DFT energy (no corrections): -59.66 eV/f.u.



# 12
Entry from the Alexandria database: a relaxed HfZrAs2 crystal (PBE).

Lattice parameters (Å, degrees): 3.8524 3.8524 6.6813 73.24 73.24 60.00
Positions (direct):
Hf (0.0000, 0.0000, 0.0000)
Zr (0.5000, 0.5000, 0.5000)
As (0.2516, 0.2516, 0.2452)
As (0.7484, 0.7484, 0.7548)

Computed properties:
* density of states at the Fermi level: 0.482 states/eV/atom
* offset from the most stable computed form: 56 meV per atom



# 13
Entry from the Alexandria database: a relaxed CeInHg4 crystal (PBE).

Lattice parameters (Å, degrees): 5.0976 5.1143 6.8026 87.59 89.56 119.82
Site moments in Bohr magnetons follow the coordinates.
Positions (direct):
Ce (0.0040, 0.4994, 0.4981)  0.90
In (0.0040, 0.4996, 0.9981)  0.01
Hg (0.6792, 0.8458, 0.2550)  0.00
Hg (0.3289, 0.1530, 0.7413)  0.00
Hg (0.6618, 0.8182, 0.7404)  0.00
Hg (0.3462, 0.1806, 0.2559)  0.00

Computed properties:
* density of states at the Fermi level: 1.393 states/eV/atom
* offset from the most stable computed form: 0 meV per atom



# 14
Entry from the Alexandria database: a relaxed Fe2MoI crystal (PBE).

Lattice parameters (Å, degrees): 4.4225 4.4225 4.4225 60.00 60.00 60.00
Site moments in Bohr magnetons follow the coordinates.
Positions (direct):
I (0.5000, 0.5000, 0.5000)  0.00
Mo (0.0000, 0.0000, 0.0000)  -0.41
Fe (0.2500, 0.2500, 0.2500)  1.65
Fe (0.7500, 0.7500, 0.7500)  1.65

Computed properties:
* E_form (uncorrected): 1.035 eV per atom
* density of states at the Fermi level: 0.862 states/eV/atom
* offset from the most stable computed form: 0 meV per atom



# 15
Entry from the Alexandria database: a relaxed ZrTe6Cl6 crystal (PBE).

Lattice parameters (Å, degrees): 11.4651 11.5343 13.0624 90.00 90.00 90.00
Positions (direct):
Cl (0.9402, 0.4155, 0.7500)
Cl (0.0598, 0.5845, 0.2500)
Cl (0.4402, 0.5845, 0.7500)
Cl (0.5598, 0.4155, 0.2500)
Cl (0.6471, 0.1030, 0.7500)
Cl (0.3529, 0.8970, 0.2500)
Cl (0.1471, 0.8970, 0.7500)
Cl (0.8529, 0.1030, 0.2500)
Cl (0.6690, 0.3649, 0.8819)
Cl (0.3310, 0.6351, 0.3819)
Cl (0.1690, 0.6351, 0.6181)
Cl (0.8310, 0.3649, 0.1181)
Cl (0.3310, 0.6351, 0.1181)
Cl (0.6690, 0.3649, 0.6181)
Cl (0.8310, 0.3649, 0.3819)
Cl (0.1690, 0.6351, 0.8819)
Cl (0.9029, 0.1560, 0.6136)
Cl (0.0971, 0.8440, 0.1136)
Cl (0.4029, 0.8440, 0.8864)
Cl (0.5971, 0.1560, 0.3864)
Cl (0.0971, 0.8440, 0.3864)
Cl (0.9029, 0.1560, 0.8864)
Cl (0.5971, 0.1560, 0.1136)
Cl (0.4029, 0.8440, 0.6136)
Te (0.5995, 0.8089, 0.0946)
Te (0.4005, 0.1911, 0.5946)
Te (0.0995, 0.1911, 0.4054)
Te (0.9005, 0.8089, 0.9054)
Te (0.4005, 0.1911, 0.9054)
Te (0.5995, 0.8089, 0.4054)
Te (0.9005, 0.8089, 0.5946)
Te (0.0995, 0.1911, 0.0946)
Te (0.6360, 0.6094, 0.9672)
Te (0.3640, 0.3906, 0.4672)
Te (0.1360, 0.3906, 0.5328)
Te (0.8640, 0.6094, 0.0328)
Te (0.3640, 0.3906, 0.0328)
Te (0.6360, 0.6094, 0.5328)
Te (0.8640, 0.6094, 0.4672)
Te (0.1360, 0.3906, 0.9672)
Te (0.7500, 0.9677, 0.0000)
Te (0.2500, 0.0323, 0.5000)
Te (0.2500, 0.0323, 0.0000)
Te (0.7500, 0.9677, 0.5000)
Te (0.7557, 0.7212, 0.2500)
Te (0.2443, 0.2788, 0.7500)
Te (0.2557, 0.2788, 0.2500)
Te (0.7443, 0.7212, 0.7500)
Zr (0.7894, 0.2614, 0.7500)
Zr (0.2106, 0.7386, 0.2500)
Zr (0.2894, 0.7386, 0.7500)
Zr (0.7106, 0.2614, 0.2500)

Computed properties:
* E_form (uncorrected): -0.794 eV per atom



# 16
Entry from the Alexandria database: a relaxed AcCd4In4 crystal (PBE).

Lattice parameters (Å, degrees): 6.6670 6.6670 11.0093 90.00 90.00 90.00
Positions (direct):
Ac (0.0000, 0.0000, 0.0000)
Ac (0.5000, 0.5000, 0.5000)
Cd (0.2150, 0.5000, 0.9376)
Cd (0.7850, 0.5000, 0.9376)
Cd (0.5000, 0.7850, 0.0624)
Cd (0.5000, 0.2150, 0.0624)
Cd (0.0000, 0.7150, 0.4376)
Cd (0.0000, 0.2850, 0.4376)
Cd (0.2850, 0.0000, 0.5624)
Cd (0.7150, 0.0000, 0.5624)
In (0.5000, 0.7671, 0.7829)
In (0.5000, 0.2329, 0.7829)
In (0.7671, 0.5000, 0.2171)
In (0.2329, 0.5000, 0.2171)
In (0.2671, 0.0000, 0.2829)
In (0.7329, 0.0000, 0.2829)
In (0.0000, 0.2671, 0.7171)
In (0.0000, 0.7329, 0.7171)

Computed properties:
* density of states at the Fermi level: 0.478 states/eV/atom
* total DFT energy (no corrections): -19.70 eV/f.u.



# 17
Entry from the Alexandria database: a relaxed Tb4SiGeC crystal (PBE).

Lattice parameters (Å, degrees): 6.6672 6.6602 8.3156 90.00 113.63 90.00
Positions (direct):
Tb (0.9194, 0.2500, 0.8388)
Tb (0.4182, 0.7500, 0.8365)
Tb (0.0806, 0.7500, 0.1612)
Tb (0.5818, 0.2500, 0.1635)
Tb (0.5000, 0.5000, 0.5000)
Tb (0.0000, 0.0000, 0.5000)
Tb (0.5000, 0.0000, 0.5000)
Tb (0.0000, 0.5000, 0.5000)
Si (0.1145, 0.2500, 0.2290)
Si (0.8855, 0.7500, 0.7710)
Ge (0.6132, 0.7500, 0.2265)
Ge (0.3868, 0.2500, 0.7735)
C (0.2497, 0.7500, 0.4995)
C (0.7503, 0.2500, 0.5005)

Computed properties:
* E_form (uncorrected): -0.561 eV per atom
* density of states at the Fermi level: 0.087 states/eV/atom